1.
! TlMo2Pb, optimized geometry, DFT PBE; values from VASP
&SYSTEM
  ibrav = 0, nat = 8, ntyp = 3
/
ATOMIC_SPECIES
Tl 204.38 Tl.upf
Mo 95.94 Mo.upf
Pb 207.20 Pb.upf
CELL_PARAMETERS angstrom
-3.881 3.881 2.921
3.881 -3.881 2.921
3.881 3.881 -2.921
ATOMIC_POSITIONS crystal
Tl 0.000 0.000 0.000
Tl 0.750 0.250 0.500
Mo 0.127 0.625 0.002
Mo 0.375 0.377 0.502
Mo 0.623 0.125 0.998
Mo 0.875 0.873 0.498
Pb 0.250 0.750 0.500
Pb 0.500 0.500 0.000
! V: 176.1 Å³ per cell
! energy of formation: 5.1 eV/f.u.

***

2.
! Zr2TiHgN, optimized geometry, DFT PBE; values from VASP
&SYSTEM
  ibrav = 0, nat = 5, ntyp = 4
/
ATOMIC_SPECIES
Zr 91.22 Zr.upf
Ti 47.87 Ti.upf
Hg 200.59 Hg.upf
N 14.01 N.upf
CELL_PARAMETERS angstrom
4.395 0.000 0.000
0.000 4.395 0.000
0.000 0.000 4.788
ATOMIC_POSITIONS crystal
Zr 0.000 0.500 0.000
Zr 0.500 0.000 0.000
Ti 0.000 0.000 0.500
Hg 0.500 0.500 0.500
N 0.500 0.500 0.000
! V: 92.5 Å³ per cell
! formation energy (no corrections): -0.2053 eV per atom

***

3.
! Tl2CrTc, optimized geometry, DFT PBE; values from VASP
&SYSTEM
  ibrav = 0, nat = 4, ntyp = 3
/
ATOMIC_SPECIES
Tl 204.38 Tl.upf
Cr 52.00 Cr.upf
Tc 98.00 Tc.upf
CELL_PARAMETERS angstrom
-2.054 2.054 4.587
2.054 -2.054 4.587
2.054 2.054 -4.587
ATOMIC_POSITIONS crystal
Tl 0.000 0.000 0.000
Tl 0.750 0.250 0.500
Cr 0.250 0.750 0.500
Tc 0.500 0.500 0.000
! V: 77.4 Å³ per cell
! energy of formation: 3.2 eV/f.u.

***

Distance to the lowest polymorph of the same formula for the records above, in order: 853, 635, 377 meV/atom